1.
! Li2CeMgIn2 PBE relaxed; values from VASP
! Space-group type: No. 164
! Uncorrected energy, eV/cell: -18.2
! Density, g/cm3: 4.87
&SYSTEM
  ibrav = 0, nat = 6, ntyp = 4
/
ATOMIC_SPECIES
Li 6.94 Li.upf
Ce 140.12 Ce.upf
Mg 24.30 Mg.upf
In 114.82 In.upf
CELL_PARAMETERS angstrom
4.8532 0.0000 0.0000
-2.4266 4.2030 0.0000
0.0000 0.0000 6.8260
ATOMIC_POSITIONS angstrom
Li 0.0000 2.8020 2.1164
Li 2.4266 1.4010 4.7096
Ce 0.0000 0.0000 0.0000
Mg 0.0000 0.0000 3.4130
In 0.0000 2.8020 5.1824
In 2.4266 1.4010 1.6436

---

2.
! Li2CeNd2In2 PBE relaxed; values from VASP
! Space-group type: No. 166
! Uncorrected energy, eV/cell: -26.3
! Density, g/cm3: 5.94
&SYSTEM
  ibrav = 0, nat = 7, ntyp = 4
/
ATOMIC_SPECIES
Li 6.94 Li.upf
Ce 140.12 Ce.upf
Nd 144.24 Nd.upf
In 114.82 In.upf
CELL_PARAMETERS angstrom
5.0208 0.0000 0.0000
2.5104 4.3482 0.0000
2.5104 1.4494 8.6097
ATOMIC_POSITIONS angstrom
Li 5.0208 2.8988 1.5328
Li 5.0208 2.8988 7.0769
Ce 0.0000 0.0000 0.0000
Nd 2.5104 1.4494 5.3490
Nd 7.5312 4.3482 3.2607
In 7.5312 4.3482 6.8515
In 2.5104 1.4494 1.7582